Compound: Pr5Nd4Co2
Source: the Alexandria database
Functional: PBE
Structure: optimized geometry

abc: 3.6664 9.1646 10.2320
angles: 94.14 90.00 90.00
Fractional coordinates of all 11 atoms:
Co  0.0000  0.0420  0.6407
Pr  0.0000  0.4705  0.6665
Nd  0.5000  0.8246  0.1820
Nd  0.5000  0.1835  0.4650
Co  0.0000  0.9580  0.3593
Pr  0.0000  0.5295  0.3335
Pr  0.0000  0.8431  0.8499
Nd  0.5000  0.8165  0.5350
Nd  0.5000  0.1754  0.8180
Pr  0.0000  0.5000  0.0000
Pr  0.0000  0.1569  0.1501

The space-group type is P2/m. Its theoretical density is 6.78 g/cm3. The value obtained for the formation energy is 0.059 eV/atom.